Here is a relaxed La2Ho2CCl5 crystal from OQMD. Energies are from GGA-PBE.

- ρ (kg/m3) = 4837
- E_tot (eV per atom) = -5.456
- E above lowest polymorph (meV/atom) = 5
- space-group type = C2/m, No. 12

Unit cell a=8.8785 b=8.8785 c=8.3957 alpha=102.52 beta=102.52 gamma=25.09
Closest atoms and distances in Å follow each position.
Fractional positions:
Cl: 0.8231 0.8231 0.1380  3 Ho 2.76-3.07, 1 La 2.97
C: 0.5000 0.5000 0.0000  2 Ho 2.39, 4 La 2.65
Cl: 0.1769 0.1769 0.8620  3 Ho 2.76-3.07, 1 La 2.97
Ho: 0.6416 0.6416 0.0696  1 C 2.39
La: 0.9988 0.9988 0.2154  2 C 2.65, 1 Cl 2.92
Cl: 0.8284 0.8284 0.6985  2 Ho 2.71, 1 La 2.92
Ho: 0.3584 0.3584 0.9304  1 C 2.39
Cl: 0.5000 0.5000 0.5000  4 La 3.07
La: 0.0012 0.0012 0.7846  2 C 2.65, 1 Cl 2.92
Cl: 0.1716 0.1716 0.3015  2 Ho 2.71, 1 La 2.92

---

Here is a relaxed La2Ho2CCl5 crystal from OQMD. Energies are from GGA-PBE.

- ρ (kg/m3) = 5301
- E_tot (eV per atom) = -5.461
- E above lowest polymorph (meV/atom) = 0
- space-group type = C2/m, No. 12

Unit cell a=9.0143 b=9.0143 c=7.8606 alpha=106.15 beta=106.15 gamma=24.06
Closest atoms and distances in Å follow each position.
Fractional positions:
La: 0.3474 0.3474 0.8984  1 C 2.58, 2 Cl 2.86
Cl: 0.8443 0.8443 0.6215  1 Ho 2.71, 2 La 2.86
Ho: 0.0011 0.0011 0.7915  2 C 2.50, 2 Cl 2.71-2.78
La: 0.6526 0.6526 0.1016  1 C 2.58, 2 Cl 2.86
Ho: 0.9989 0.9989 0.2085  2 C 2.50, 2 Cl 2.71-2.78
Cl: 0.1620 0.1620 0.8231  1 Ho 2.78, 2 La 2.92
Cl: 0.5000 0.5000 0.5000  4 Ho 2.96
Cl: 0.1557 0.1557 0.3785  1 Ho 2.71, 2 La 2.86
C: 0.5000 0.5000 0.0000  4 Ho 2.50, 2 La 2.58
Cl: 0.8380 0.8380 0.1769  1 Ho 2.78, 2 La 2.92

---

Here is a relaxed Pr2Ho2CCl5 crystal from OQMD. Energies are from GGA-PBE.

- ρ (kg/m3) = 5022
- E_tot (eV per atom) = -5.402
- space-group type = C2/m, No. 12

Unit cell a=8.8407 b=8.8407 c=8.2229 alpha=102.91 beta=102.91 gamma=25.04
Closest atoms and distances in Å follow each position.
Fractional positions:
Cl: 0.8303 0.8303 0.6861  2 Ho 2.70, 1 Pr 2.89
Cl: 0.1697 0.1697 0.3139  2 Ho 2.70, 1 Pr 2.89
Pr: 0.0018 0.0018 0.7857  2 C 2.61, 1 Cl 2.89
Cl: 0.8238 0.8238 0.1375  3 Ho 2.75-3.06, 1 Pr 2.93
C: 0.5000 0.5000 0.0000  2 Ho 2.39, 4 Pr 2.61
Pr: 0.9982 0.9982 0.2143  2 C 2.61, 1 Cl 2.89
Cl: 0.5000 0.5000 0.5000  4 Pr 3.03
Ho: 0.6420 0.6420 0.0763  1 C 2.39
Cl: 0.1762 0.1762 0.8625  3 Ho 2.75-3.06, 1 Pr 2.93
Ho: 0.3580 0.3580 0.9237  1 C 2.39

---

Here is a relaxed Pr2Ho2CCl5 crystal from OQMD. Energies are from GGA-PBE.

- ρ (kg/m3) = 5392
- E_tot (eV per atom) = -5.401
- space-group type = C2/m, No. 12

Unit cell a=8.9129 b=8.9129 c=7.8453 alpha=104.56 beta=104.56 gamma=24.18
Closest atoms and distances in Å follow each position.
Fractional positions:
Pr: 0.6505 0.6505 0.0894  1 C 2.54, 2 Cl 2.83
Cl: 0.8367 0.8367 0.1830  1 Ho 2.79, 2 Pr 2.89
Cl: 0.5000 0.5000 0.5000  4 Ho 2.95
C: 0.5000 0.5000 0.0000  4 Ho 2.49, 2 Pr 2.54
Ho: 0.0006 0.0006 0.7907  2 C 2.49, 1 Cl 2.71
Pr: 0.3495 0.3495 0.9106  1 C 2.54, 2 Cl 2.83
Cl: 0.8426 0.8426 0.6351  1 Ho 2.71, 2 Pr 2.83
Cl: 0.1574 0.1574 0.3649  1 Ho 2.71, 2 Pr 2.83
Cl: 0.1633 0.1633 0.8169  1 Ho 2.79, 2 Pr 2.89
Ho: 0.9994 0.9994 0.2093  2 C 2.49, 1 Cl 2.71

---

Here is a relaxed Ho2Sc2CCl5 crystal from OQMD. Energies are from GGA-PBE.

- ρ (kg/m3) = 4498
- E_tot (eV per atom) = -5.725
- E above lowest polymorph (meV/atom) = 0
- space-group type = C2/m, No. 12

Unit cell a=8.4415 b=8.4415 c=7.7614 alpha=102.88 beta=102.88 gamma=24.68
Closest atoms and distances in Å follow each position.
Fractional positions:
Sc: 0.3612 0.3612 0.9260  1 C 2.23
Ho: 0.9987 0.9987 0.2096  2 C 2.43, 1 Cl 2.71
Cl: 0.1668 0.1668 0.3182  2 Sc 2.58, 1 Ho 2.71
Cl: 0.8275 0.8275 0.1450  2 Sc 2.62, 1 Ho 2.75
C: 0.5000 0.5000 0.0000  2 Sc 2.23, 4 Ho 2.43
Ho: 0.0013 0.0013 0.7904  2 C 2.43, 1 Cl 2.71
Cl: 0.8332 0.8332 0.6818  2 Sc 2.58, 1 Ho 2.71
Cl: 0.1725 0.1725 0.8550  2 Sc 2.62, 1 Ho 2.75
Cl: 0.5000 0.5000 0.5000  4 Ho 2.88
Sc: 0.6388 0.6388 0.0740  1 C 2.23

---

Here is a relaxed Ho2Sc2CCl5 crystal from OQMD. Energies are from GGA-PBE.

- ρ (kg/m3) = 4700
- E_tot (eV per atom) = -5.696
- E above lowest polymorph (meV/atom) = 29
- space-group type = C2/m, No. 12

Unit cell a=8.5057 b=8.5057 c=7.4117 alpha=103.44 beta=103.44 gamma=24.40
Closest atoms and distances in Å follow each position.
Fractional positions:
Ho: 0.6447 0.6447 0.0810  1 C 2.34
Cl: 0.8329 0.8329 0.1762  2 Ho 2.71, 1 Sc 2.73
Cl: 0.1671 0.1671 0.8238  2 Ho 2.71, 1 Sc 2.73
Cl: 0.8398 0.8398 0.6492  1 Sc 2.63, 2 Ho 2.66
Ho: 0.3553 0.3553 0.9190  1 C 2.34
Sc: 0.0002 0.0002 0.7967  2 C 2.35
C: 0.5000 0.5000 0.0000  2 Ho 2.34, 4 Sc 2.35
Cl: 0.5000 0.5000 0.5000  4 Sc 2.84
Sc: 0.9998 0.9998 0.2033  2 C 2.35
Cl: 0.1602 0.1602 0.3508  1 Sc 2.63, 2 Ho 2.66